Below is an optimized crystal structure of Ho3Cu2Si4, with properties calculated at the PBE level.

abc: 5.6361 5.6361 7.9746
angles: 100.79 100.79 41.97
Fractional positions:
Ho (0.0000, 0.0000, 0.0000)
Ho (0.3380, 0.3380, 0.3317)
Ho (0.6620, 0.6620, 0.6683)
Cu (0.3878, 0.3878, 0.7177)
Cu (0.6122, 0.6122, 0.2823)
Si (0.0594, 0.0594, 0.3882)
Si (0.2824, 0.2824, 0.9410)
Si (0.7176, 0.7176, 0.0590)
Si (0.9406, 0.9406, 0.6118)

## Properties
- total magnetization (μB per formula unit) = 0.0
- raw total energy (eV per formula unit) = -49.336
- space-group type = C2/m, No. 12
- density (Mg/m³) = 7.3

---

Below is an optimized crystal structure of HoCuSi, with properties calculated at the PBE level.

abc: 4.1251 4.1251 7.4502
angles: 90.00 90.00 120.00
Fractional positions:
Ho (0.0000, 0.0000, 0.0000)
Ho (0.0000, 0.0000, 0.5000)
Cu (0.3333, 0.6667, 0.2500)
Cu (0.6667, 0.3333, 0.7500)
Si (0.3333, 0.6667, 0.7500)
Si (0.6667, 0.3333, 0.2500)

## Properties
- total magnetization (μB per formula unit) = 0.0
- raw total energy (eV per formula unit) = -15.727
- space-group type = P6_3/mmc, No. 194
- density (Mg/m³) = 7.8

---

Below is an optimized crystal structure of Ho4CuSi3, with properties calculated at the PBE level.

abc: 5.6736 3.9319 7.6319
angles: 90.00 90.94 90.00
Fractional positions:
Ho (0.0000, 0.0000, 0.0000)
Ho (0.2410, 0.5000, 0.6558)
Ho (0.4947, 0.5000, 0.1370)
Ho (0.7391, 0.0000, 0.5030)
Cu (0.5034, 0.0000, 0.8574)
Si (0.2471, 0.0000, 0.3654)
Si (0.7432, 0.5000, 0.7865)
Si (0.9922, 0.5000, 0.2883)

## Properties
- total magnetization (μB per formula unit) = 0.1
- raw total energy (eV per formula unit) = -43.673
- space-group type = Pm, No. 6
- density (Mg/m³) = 7.9

---

Below is an optimized crystal structure of HoCuSi, with properties calculated at the PBE level.

abc: 4.7569 4.7569 5.6754
angles: 90.00 90.00 120.00
Fractional positions:
Ho (0.3333, 0.6667, 0.2500)
Ho (0.6667, 0.3333, 0.7500)
Cu (0.0000, 0.0000, 0.0000)
Cu (0.0000, 0.0000, 0.5000)
Si (0.3333, 0.6667, 0.7500)
Si (0.6667, 0.3333, 0.2500)

## Properties
- total magnetization (μB per formula unit) = 0.0
- raw total energy (eV per formula unit) = -14.516
- space-group type = P6_3/mmc, No. 194
- density (Mg/m³) = 7.7

---

Below is an optimized crystal structure of SmHoCu2Si2, with properties calculated at the PBE level.

abc: 4.1646 4.1646 7.6241
angles: 90.00 90.00 120.00
Fractional positions:
Sm (0.0000, 0.0000, 0.0000)
Ho (0.0000, 0.0000, 0.5000)
Cu (0.3333, 0.6667, 0.2593)
Cu (0.6667, 0.3333, 0.7407)
Si (0.3333, 0.6667, 0.7421)
Si (0.6667, 0.3333, 0.2579)

## Properties
- total magnetization (μB per formula unit) = 0.0
- raw total energy (eV per formula unit) = -31.528
- space-group type = P-3m1, No. 164
- density (Mg/m³) = 7.2

---

Below is an optimized crystal structure of YHo2Cu4Si2Sn2, with properties calculated at the PBE level.

abc: 8.1424 8.1424 8.1424
angles: 150.01 130.25 59.19
Fractional positions:
Y (0.0000, 0.0000, 0.0000)
Ho (0.3645, 0.8645, 0.5000)
Ho (0.6355, 0.1355, 0.5000)
Cu (0.0079, 0.3192, 0.6887)
Cu (0.3695, 0.6808, 0.6887)
Cu (0.6305, 0.3192, 0.3113)
Cu (0.9921, 0.6808, 0.3113)
Si (0.2164, 0.2164, 0.0000)
Si (0.7836, 0.7836, 0.0000)
Sn (0.2981, 0.5000, 0.7981)
Sn (0.7019, 0.5000, 0.2019)

## Properties
- total magnetization (μB per formula unit) = 0.0
- energy relative to the lowest polymorph listed for this composition (meV/atom) = 72
- raw total energy (eV per formula unit) = -55.099
- space-group type = Immm, No. 71
- density (Mg/m³) = 7.9

---

Below is an optimized crystal structure of YHo2Cu4Si2Sn2, with properties calculated at the PBE level.

abc: 8.1770 8.1770 8.1770
angles: 149.46 132.16 57.83
Fractional positions:
Y (0.0000, 0.0000, 0.0000)
Ho (0.3763, 0.8763, 0.5000)
Ho (0.6237, 0.1237, 0.5000)
Cu (0.0360, 0.3458, 0.6902)
Cu (0.3444, 0.6542, 0.6902)
Cu (0.6556, 0.3458, 0.3098)
Cu (0.9640, 0.6542, 0.3098)
Si (0.3185, 0.5000, 0.8185)
Si (0.6815, 0.5000, 0.1815)
Sn (0.2187, 0.2187, 0.0000)
Sn (0.7813, 0.7813, 0.0000)

## Properties
- total magnetization (μB per formula unit) = 0.0
- energy relative to the lowest polymorph listed for this composition (meV/atom) = 0
- raw total energy (eV per formula unit) = -55.888
- space-group type = Immm, No. 71
- density (Mg/m³) = 7.9

---

Below is an optimized crystal structure of SrHoCuSi3, with properties calculated at the PBE level.

abc: 8.2660 8.1544 5.8611
angles: 70.11 68.07 41.82
Fractional positions:
Sr (0.2500, 0.2500, 0.2500)
Sr (0.7500, 0.7500, 0.7500)
Ho (0.2406, 0.7594, 0.2406)
Ho (0.7594, 0.2406, 0.7594)
Cu (0.3346, 0.3346, 0.6654)
Cu (0.6654, 0.6654, 0.3346)
Si (0.1636, 0.1636, 0.8364)
Si (0.1747, 0.6621, 0.8253)
Si (0.3379, 0.8253, 0.6621)
Si (0.6621, 0.1747, 0.3379)
Si (0.8253, 0.3379, 0.1747)
Si (0.8364, 0.8364, 0.1636)

## Properties
- total magnetization (μB per formula unit) = 0.0
- raw total energy (eV per formula unit) = -29.565
- space-group type = Fmmm, No. 69
- density (Mg/m³) = 5.5

---

Below is an optimized crystal structure of SrHoCuSi3, with properties calculated at the PBE level.

abc: 8.1927 8.0747 5.9051
angles: 69.79 67.65 42.56
Fractional positions:
Sr (0.2463, 0.7537, 0.2463)
Sr (0.7537, 0.2463, 0.7537)
Ho (0.2500, 0.2500, 0.2500)
Ho (0.7500, 0.7500, 0.7500)
Cu (0.3322, 0.3322, 0.6678)
Cu (0.6678, 0.6678, 0.3322)
Si (0.1657, 0.6591, 0.8343)
Si (0.1713, 0.1713, 0.8287)
Si (0.3409, 0.8343, 0.6591)
Si (0.6591, 0.1657, 0.3409)
Si (0.8287, 0.8287, 0.1713)
Si (0.8343, 0.3409, 0.1657)

## Properties
- total magnetization (μB per formula unit) = 0.0
- raw total energy (eV per formula unit) = -29.566
- space-group type = Fmmm, No. 69
- density (Mg/m³) = 5.5

---

Below is an optimized crystal structure of TbHoCu2Si2, with properties calculated at the PBE level.

abc: 4.1329 4.1329 7.5042
angles: 90.00 90.00 120.00
Fractional positions:
Tb (0.0000, 0.0000, 0.0000)
Ho (0.0000, 0.0000, 0.5000)
Cu (0.3333, 0.6667, 0.2517)
Cu (0.6667, 0.3333, 0.7483)
Si (0.3333, 0.6667, 0.7481)
Si (0.6667, 0.3333, 0.2519)

## Properties
- total magnetization (μB per formula unit) = 0.0
- raw total energy (eV per formula unit) = -31.504
- space-group type = P-3m1, No. 164
- density (Mg/m³) = 7.6

---

Below is an optimized crystal structure of TbHoCuSi3, with properties calculated at the PBE level.

abc: 8.0112 7.9909 5.6775
angles: 69.41 69.03 41.56
Fractional positions:
Tb (0.2436, 0.7564, 0.2436)
Tb (0.7564, 0.2436, 0.7564)
Ho (0.2500, 0.2500, 0.2500)
Ho (0.7500, 0.7500, 0.7500)
Cu (0.3331, 0.3331, 0.6669)
Cu (0.6669, 0.6669, 0.3331)
Si (0.1690, 0.1690, 0.8310)
Si (0.1708, 0.6597, 0.8292)
Si (0.3403, 0.8292, 0.6597)
Si (0.6597, 0.1708, 0.3403)
Si (0.8292, 0.3403, 0.1708)
Si (0.8310, 0.8310, 0.1690)

## Properties
- total magnetization (μB per formula unit) = 0.0
- energy relative to the lowest polymorph listed for this composition (meV/atom) = 0
- raw total energy (eV per formula unit) = -33.617
- space-group type = Fmmm, No. 69
- density (Mg/m³) = 7.0

---

Below is an optimized crystal structure of HoTm2Cu4Si4, with properties calculated at the PBE level.

abc: 7.7954 7.7954 7.7954
angles: 149.55 130.63 59.12
Fractional positions:
Ho (0.0000, 0.0000, 0.0000)
Tm (0.3710, 0.8710, 0.5000)
Tm (0.6290, 0.1290, 0.5000)
Cu (0.0223, 0.3308, 0.6915)
Cu (0.3606, 0.6692, 0.6915)
Cu (0.6394, 0.3308, 0.3085)
Cu (0.9777, 0.6692, 0.3085)
Si (0.2166, 0.2166, 0.0000)
Si (0.3152, 0.5000, 0.8152)
Si (0.6848, 0.5000, 0.1848)
Si (0.7834, 0.7834, 0.0000)

## Properties
- total magnetization (μB per formula unit) = 0.0
- raw total energy (eV per formula unit) = -57.143
- space-group type = Immm, No. 71
- density (Mg/m³) = 8.0

---

Below is an optimized crystal structure of YHoCuSi3, with properties calculated at the PBE level.

abc: 8.0036 7.9924 5.6636
angles: 69.37 69.16 41.47
Fractional positions:
Y (0.2436, 0.7564, 0.2436)
Y (0.7564, 0.2436, 0.7564)
Ho (0.2500, 0.2500, 0.2500)
Ho (0.7500, 0.7500, 0.7500)
Cu (0.3330, 0.3330, 0.6670)
Cu (0.6670, 0.6670, 0.3330)
Si (0.1690, 0.1690, 0.8310)
Si (0.1708, 0.6597, 0.8292)
Si (0.3403, 0.8292, 0.6597)
Si (0.6597, 0.1708, 0.3403)
Si (0.8292, 0.3403, 0.1708)
Si (0.8310, 0.8310, 0.1690)

## Properties
- total magnetization (μB per formula unit) = 0.0
- raw total energy (eV per formula unit) = -35.438
- space-group type = Fmmm, No. 69
- density (Mg/m³) = 6.0

---

Below is an optimized crystal structure of Y2HoCu4Si4, with properties calculated at the PBE level.

abc: 7.8381 7.8381 7.8381
angles: 149.50 130.74 59.05
Fractional positions:
Y (0.1290, 0.1290, 0.0000)
Y (0.8710, 0.8710, 0.0000)
Ho (0.5000, 0.0000, 0.5000)
Cu (0.1398, 0.3309, 0.8090)
Cu (0.4781, 0.6691, 0.8090)
Cu (0.5219, 0.3309, 0.1910)
Cu (0.8602, 0.6691, 0.1910)
Si (0.1851, 0.5000, 0.6851)
Si (0.2836, 0.7836, 0.5000)
Si (0.7164, 0.2164, 0.5000)
Si (0.8149, 0.5000, 0.3149)

## Properties
- total magnetization (μB per formula unit) = 0.0
- raw total energy (eV per formula unit) = -61.085
- space-group type = Immm, No. 71
- density (Mg/m³) = 6.4

---

Below is an optimized crystal structure of HoZr2Cu4Si4, with properties calculated at the PBE level.

abc: 7.6212 7.6212 7.6212
angles: 149.89 129.40 60.01
Fractional positions:
Ho (0.0000, 0.0000, 0.0000)
Zr (0.3758, 0.8758, 0.5000)
Zr (0.6242, 0.1242, 0.5000)
Cu (0.0210, 0.3292, 0.6917)
Cu (0.3625, 0.6708, 0.6917)
Cu (0.6375, 0.3292, 0.3083)
Cu (0.9790, 0.6708, 0.3083)
Si (0.2196, 0.2196, 0.0000)
Si (0.3165, 0.5000, 0.8165)
Si (0.6835, 0.5000, 0.1835)
Si (0.7804, 0.7804, 0.0000)

## Properties
- total magnetization (μB per formula unit) = 0.0
- raw total energy (eV per formula unit) = -64.784
- space-group type = Immm, No. 71
- density (Mg/m³) = 7.0

---

Below is an optimized crystal structure of Ho2CuSn6, with properties calculated at the PBE level.

abc: 11.4192 11.4192 4.4994
angles: 90.00 90.00 157.62
Fractional positions:
Ho (0.1782, 0.8218, 0.0000)
Ho (0.8218, 0.1782, 0.0000)
Cu (0.5000, 0.5000, 0.5000)
Sn (0.0726, 0.9274, 0.5000)
Sn (0.2955, 0.7045, 0.5000)
Sn (0.4283, 0.5717, 0.0000)
Sn (0.5717, 0.4283, 0.0000)
Sn (0.7045, 0.2955, 0.5000)
Sn (0.9274, 0.0726, 0.5000)

## Properties
- total magnetization (μB per formula unit) = 0.0
- raw total energy (eV per formula unit) = -40.419
- space-group type = Cmmm, No. 65
- density (Mg/m³) = 8.2

---

Below is an optimized crystal structure of Tb2HoCu4Sn4, with properties calculated at the PBE level.

abc: 8.4370 8.4370 8.4370
angles: 149.29 131.46 58.55
Fractional positions:
Tb (0.1313, 0.1313, 0.0000)
Tb (0.8687, 0.8687, 0.0000)
Ho (0.5000, 0.0000, 0.5000)
Cu (0.1423, 0.3298, 0.8124)
Cu (0.4826, 0.6702, 0.8124)
Cu (0.5174, 0.3298, 0.1876)
Cu (0.8577, 0.6702, 0.1876)
Sn (0.2028, 0.5000, 0.7028)
Sn (0.2839, 0.7839, 0.5000)
Sn (0.7161, 0.2161, 0.5000)
Sn (0.7972, 0.5000, 0.2972)

## Properties
- total magnetization (μB per formula unit) = 0.0
- raw total energy (eV per formula unit) = -50.408
- space-group type = Immm, No. 71
- density (Mg/m³) = 8.8

---

Below is an optimized crystal structure of TbHo2Cu4Sn4, with properties calculated at the PBE level.

abc: 8.4394 8.4394 8.4394
angles: 149.33 131.35 58.62
Fractional positions:
Tb (0.0000, 0.0000, 0.0000)
Ho (0.3687, 0.8687, 0.5000)
Ho (0.6313, 0.1313, 0.5000)
Cu (0.0176, 0.3298, 0.6878)
Cu (0.3580, 0.6702, 0.6878)
Cu (0.6420, 0.3298, 0.3122)
Cu (0.9824, 0.6702, 0.3122)
Sn (0.2164, 0.2164, 0.0000)
Sn (0.2977, 0.5000, 0.7977)
Sn (0.7023, 0.5000, 0.2023)
Sn (0.7836, 0.7836, 0.0000)

## Properties
- total magnetization (μB per formula unit) = 0.0
- raw total energy (eV per formula unit) = -50.267
- space-group type = Immm, No. 71
- density (Mg/m³) = 8.9

---

Below is an optimized crystal structure of HoCuSnTe3, with properties calculated at the PBE level.

abc: 12.3169 4.3652 12.3032
angles: 90.00 90.00 90.00
Fractional positions:
Ho (0.0313, 0.2500, 0.1911)
Ho (0.4687, 0.7500, 0.6911)
Ho (0.5313, 0.2500, 0.3089)
Ho (0.9687, 0.7500, 0.8089)
Cu (0.2322, 0.7500, 0.2982)
Cu (0.2678, 0.2500, 0.7982)
Cu (0.7322, 0.7500, 0.2018)
Cu (0.7678, 0.2500, 0.7018)
Sn (0.2009, 0.2500, 0.4713)
Sn (0.2991, 0.7500, 0.9713)
Sn (0.7009, 0.2500, 0.0287)
Sn (0.7991, 0.7500, 0.5287)
Te (0.0331, 0.7500, 0.3694)
Te (0.0998, 0.2500, 0.9386)
Te (0.2159, 0.7500, 0.6875)
Te (0.2841, 0.2500, 0.1875)
Te (0.4002, 0.7500, 0.4386)
Te (0.4669, 0.2500, 0.8694)
Te (0.5331, 0.7500, 0.1306)
Te (0.5998, 0.2500, 0.5614)
Te (0.7159, 0.7500, 0.8125)
Te (0.7841, 0.2500, 0.3125)
Te (0.9002, 0.7500, 0.0614)
Te (0.9669, 0.2500, 0.6306)

## Properties
- total magnetization (μB per formula unit) = 0.0
- energy relative to the lowest polymorph listed for this composition (meV/atom) = 38
- raw total energy (eV per formula unit) = -25.444
- space-group type = Pnma, No. 62
- density (Mg/m³) = 7.3

---

Below is an optimized crystal structure of HoCuSnTe3, with properties calculated at the PBE level.

abc: 8.8762 4.4431 17.1878
angles: 90.00 90.00 90.00
Fractional positions:
Ho (0.2503, 0.2500, 0.0373)
Ho (0.2497, 0.7500, 0.5373)
Ho (0.7503, 0.2500, 0.4627)
Ho (0.7497, 0.7500, 0.9627)
Cu (0.1251, 0.2500, 0.3705)
Cu (0.3749, 0.7500, 0.8705)
Cu (0.6251, 0.2500, 0.1295)
Cu (0.8749, 0.7500, 0.6295)
Sn (0.0806, 0.2500, 0.7749)
Sn (0.4194, 0.7500, 0.2749)
Sn (0.5806, 0.2500, 0.7251)
Sn (0.9194, 0.7500, 0.2251)
Te (0.0190, 0.2500, 0.5959)
Te (0.1155, 0.7500, 0.9385)
Te (0.1891, 0.2500, 0.2180)
Te (0.3109, 0.7500, 0.7180)
Te (0.3845, 0.2500, 0.4385)
Te (0.4810, 0.7500, 0.0959)
Te (0.5190, 0.2500, 0.9041)
Te (0.6155, 0.7500, 0.5615)
Te (0.6891, 0.2500, 0.2820)
Te (0.8109, 0.7500, 0.7820)
Te (0.8845, 0.2500, 0.0615)
Te (0.9810, 0.7500, 0.4041)

## Properties
- total magnetization (μB per formula unit) = 0.0
- energy relative to the lowest polymorph listed for this composition (meV/atom) = 50
- raw total energy (eV per formula unit) = -25.372
- space-group type = Pnma, No. 62
- density (Mg/m³) = 7.2